The following is a PBE-GGA calculation of an optimized crystal structure of Pr2Nd5Tm4, from the Alexandria database.

Cell and atoms, written as POSCAR:
```
Pr2Nd5Tm4
1.0
11.870 -1.809 0.000
11.870 1.809 0.000
-2.204 0.000 8.581
Pr Nd Tm
2 5 4
Cartesian
1.626 0.000 1.896
19.909 0.000 6.685
-1.102 0.000 4.291
4.969 0.000 5.914
7.732 0.000 3.478
13.803 0.000 5.104
16.566 0.000 2.667
2.216 0.000 8.184
10.452 0.000 1.163
11.083 0.000 7.418
19.319 0.000 0.398
```

Summary:
spin magnetization: 0.000 μB per atom
uncorrected energy: -0.170 Ha/atom
SG: C2/m (12)
relative energy among the computed polymorphs: 0 meV/atom

=====

The following is a PBE-GGA calculation of an optimized crystal structure of Dy5Er4Tl, from the Alexandria database.

Cell and atoms, written as POSCAR:
```
Dy5Er4Tl
1.0
3.537 0.000 0.000
0.000 3.537 0.000
0.000 0.000 24.304
Dy Er Tl
5 4 1
Cartesian
0.000 0.000 0.000
0.000 0.000 4.978
0.000 0.000 9.972
0.000 0.000 14.333
0.000 0.000 19.327
1.768 1.768 2.493
1.768 1.768 7.482
1.768 1.768 16.822
1.768 1.768 21.812
1.768 1.768 12.152
```

Summary:
spin magnetization: 0.000 μB per atom
uncorrected energy: -0.162 Ha/atom
SG: P4/mmm (123)
relative energy among the computed polymorphs: 0 meV/atom

=====

The following is a PBE-GGA calculation of an optimized crystal structure of ReSn2S2, from the Alexandria database.

Cell and atoms, written as POSCAR:
```
ReSn2S2
1.0
6.215 0.000 0.000
0.000 6.215 0.000
0.000 0.000 5.749
Re Sn S
2 4 4
Cartesian
0.000 0.000 0.000
3.107 3.107 0.000
1.272 1.836 2.874
1.836 4.943 2.874
4.379 1.272 2.874
4.943 4.379 2.874
1.041 2.067 0.000
2.067 5.174 0.000
4.148 1.041 0.000
5.174 4.148 0.000
```

Summary:
formation energy (no corrections): 17.21 kJ/mol of atoms
spin magnetization: 0.000 μB per atom
uncorrected energy: -0.204 Ha/atom
SG: P4/mbm (127)
relative energy among the computed polymorphs: 0 meV/atom

=====

The following is a PBE-GGA calculation of an optimized crystal structure of HfSnTe3, from the Alexandria database.

Cell and atoms, written as POSCAR:
```
HfSnTe3
1.0
5.546 0.000 0.000
0.000 5.546 0.000
0.000 0.000 5.546
Hf Sn Te
1 1 3
Cartesian
0.000 0.000 0.000
2.773 2.773 2.773
0.000 2.773 2.773
2.773 0.000 2.773
2.773 2.773 0.000
```

Summary:
formation energy (no corrections): 72.48 kJ/mol of atoms
spin magnetization: 0.000 μB per atom
uncorrected energy: -0.144 Ha/atom
SG: Pm-3m (221)
relative energy among the computed polymorphs: 1217 meV/atom

=====

The following is a PBE-GGA calculation of an optimized crystal structure of Pr6Sm8Sc, from the Alexandria database.

Cell and atoms, written as POSCAR:
```
Pr6Sm8Sc
1.0
4.628 2.672 6.999
-4.628 2.672 6.999
0.000 -5.344 6.999
Pr Sm Sc
6 8 1
Cartesian
-2.577 -2.210 9.618
-3.202 1.127 11.379
0.625 -3.336 11.379
-0.625 3.336 9.618
3.202 -1.127 9.618
2.577 2.210 11.379
0.000 0.000 1.625
-1.827 0.862 7.586
0.167 -2.013 7.586
-1.660 -1.151 13.411
1.660 1.151 7.586
-0.167 2.013 13.411
1.827 -0.862 13.411
0.000 0.000 19.372
0.000 0.000 10.498
```

Summary:
spin magnetization: 0.000 μB per atom
uncorrected energy: -0.174 Ha/atom
SG: R-3 (148)
relative energy among the computed polymorphs: 0 meV/atom

=====

The following is a PBE-GGA calculation of an optimized crystal structure of SrMnCr2, from the Alexandria database.

Cell and atoms, written as POSCAR:
```
SrMnCr2
1.0
4.559 0.000 0.000
0.000 4.559 0.000
0.000 0.000 4.395
Sr Mn Cr
1 1 2
Cartesian
0.000 0.000 0.000
2.279 2.279 0.000
0.000 2.279 2.198
2.279 0.000 2.198
```

Summary:
spin magnetization: 3.165 μB per atom
uncorrected energy: -0.234 Ha/atom
SG: P4/mmm (123)
relative energy among the computed polymorphs: 614 meV/atom

=====

The following is a PBE-GGA calculation of an optimized crystal structure of ReP2CS, from the Alexandria database.

Cell and atoms, written as POSCAR:
```
ReP2CS
1.0
3.841 0.000 0.000
0.000 3.841 0.000
0.000 0.000 4.176
Re P C S
1 2 1 1
Cartesian
0.000 0.000 0.000
0.000 1.921 2.088
1.921 0.000 2.088
1.921 1.921 2.088
1.921 1.921 0.000
```

Summary:
formation energy (no corrections): 122.37 kJ/mol of atoms
spin magnetization: 0.006 μB per atom
uncorrected energy: -0.223 Ha/atom
SG: P4/mmm (123)
relative energy among the computed polymorphs: 0 meV/atom

=====

The following is a PBE-GGA calculation of an optimized crystal structure of KRbPdF6, from the Alexandria database.

Cell and atoms, written as POSCAR:
```
KRbPdF6
1.0
5.944 0.000 0.000
-2.972 5.148 0.000
0.000 0.000 4.881
K Rb Pd F
1 1 1 6
Cartesian
0.000 0.000 0.000
2.972 1.716 2.153
0.000 3.432 3.587
-1.412 2.617 4.664
0.000 1.790 2.521
-1.422 4.253 2.521
1.412 2.617 4.664
0.000 5.063 4.664
1.422 4.253 2.521
```

Summary:
formation energy (no corrections): -202.79 kJ/mol of atoms
spin magnetization: 0.000 μB per atom
uncorrected energy: -0.153 Ha/atom
SG: P3m1 (156)

=====

The following is a PBE-GGA calculation of an optimized crystal structure of TaAg2Sb, from the Alexandria database.

Cell and atoms, written as POSCAR:
```
TaAg2Sb
1.0
5.282 -1.491 0.000
5.282 1.491 0.000
-2.299 0.000 4.977
Ta Ag Sb
1 2 1
Cartesian
0.000 0.000 0.000
1.492 0.000 2.823
4.295 0.000 2.440
7.734 0.000 0.238
```

Summary:
formation energy (no corrections): 25.83 kJ/mol of atoms
spin magnetization: 0.000 μB per atom
uncorrected energy: -0.189 Ha/atom
SG: Cm (8)

=====

The following is a PBE-GGA calculation of an optimized crystal structure of KCu3S2, from the Alexandria database.

Cell and atoms, written as POSCAR:
```
KCu3S2
1.0
7.310 -1.955 0.000
7.310 1.955 0.000
-3.320 0.000 7.655
K Cu S
2 6 4
Cartesian
1.824 0.000 0.333
9.476 0.000 7.322
-0.405 0.000 3.141
2.595 0.000 4.475
4.735 0.000 2.765
6.565 0.000 4.890
8.706 0.000 3.180
11.705 0.000 4.514
0.520 0.000 5.295
4.467 0.000 5.815
6.833 0.000 1.840
10.780 0.000 2.360
```

Summary:
formation energy (no corrections): -45.28 kJ/mol of atoms
spin magnetization: 0.000 μB per atom
uncorrected energy: -0.150 Ha/atom
SG: C2/m (12)

=====

The following is a PBE-GGA calculation of an optimized crystal structure of TlRh2Br, from the Alexandria database.

Cell and atoms, written as POSCAR:
```
TlRh2Br
1.0
-1.569 2.278 5.263
1.569 -2.278 5.263
1.569 2.278 -5.263
Tl Rh Br
1 2 1
Cartesian
0.000 0.000 0.000
0.000 0.000 5.440
0.000 2.278 2.502
1.569 0.000 2.898
```

Summary:
formation energy (no corrections): 41.58 kJ/mol of atoms
spin magnetization: 0.000 μB per atom
uncorrected energy: -0.156 Ha/atom
SG: Imm2 (44)
relative energy among the computed polymorphs: 193 meV/atom

=====

The following is a PBE-GGA calculation of an optimized crystal structure of Ac2CeH, from the Alexandria database.

Cell and atoms, written as POSCAR:
```
Ac2CeH
1.0
1.881 1.086 10.189
-1.881 1.086 10.189
0.000 -2.172 10.189
Ac Ce H
2 1 1
Cartesian
0.000 0.000 3.517
0.000 0.000 27.051
0.000 0.000 0.000
0.000 0.000 15.284
```

Summary:
spin magnetization: 0.455 μB per atom
uncorrected energy: -0.155 Ha/atom
SG: R-3m (166)
relative energy among the computed polymorphs: 0 meV/atom